VASP calculation (GGA-PBE) on a geometry-optimized DyHo2In3CuPt2 structure.

Unit cell a=3.7339 b=7.7337 c=7.7337 alpha=120.05 beta=90.00 gamma=90.00
With the nearest neighbours (Å) after each atom.
Element x y z (fractional)
Cu1 0.0000 0.0002 0.0002  6 In 2.71
Dy1 0.0000 0.5888 0.5888  4 Pt 3.00, 1 Cu 3.18, 6 In 3.19-3.35
Ho1 0.0000 0.4113 0.0000  4 Pt 2.99, 1 Cu 3.18, 2 In 3.19
Ho2 0.0000 0.0000 0.4113  4 Pt 2.99, 1 Cu 3.18, 2 In 3.19
In1 0.5000 0.7455 0.0003  2 Cu 2.71, 2 Pt 2.92-2.93
In2 0.5000 0.2543 0.2543  2 Cu 2.71, 2 Pt 2.93
In3 0.5000 0.0003 0.7455  2 Cu 2.71, 2 Pt 2.92-2.93
Pt1 0.5000 0.6669 0.3326  3 In 2.92-2.93, 4 Ho 2.99, 2 Dy 3.00
Pt2 0.5000 0.3326 0.6669  3 In 2.92-2.93, 4 Ho 2.99, 2 Dy 3.00

Values from the calculation:
Total DFT energy (no corrections) ... -5.041 eV/atom
Total magnetic moment ... 0.00 μB per cell
Space-group type ... Amm2 (38)